{
  "formula": "NaPdCl",
  "functional": "PBE",
  "state": "relaxed",
  "lattice_angstrom": [[4.630, 0.000, 0.000], [-2.315, 4.009, 0.000], [0.000, 0.000, 9.290]],
  "species": ["Na", "Na", "Pd", "Pd", "Cl", "Cl"],
  "fractional_positions": [[0.333, 0.667, 0.250], [0.667, 0.333, 0.750], [0.000, 0.000, 0.000], [0.000, 0.000, 0.500], [0.000, 0.000, 0.250], [0.000, 0.000, 0.750]],
  "polymorph_energy_mev_per_atom": 267
}

=====

{
  "formula": "TlTe4Rh",
  "functional": "PBE",
  "state": "relaxed",
  "lattice_angstrom": [[0.000, 4.489, 4.489], [4.489, 0.000, 4.489], [4.489, 4.489, 0.000]],
  "species": ["Tl", "Te", "Te", "Te", "Te", "Rh"],
  "fractional_positions": [[0.000, 0.000, 0.000], [0.376, 0.376, 0.376], [0.376, 0.376, 0.872], [0.376, 0.872, 0.376], [0.872, 0.376, 0.376], [0.750, 0.750, 0.750]]
}

=====

| no. | formation energy (no corrections) (eV per formula unit) |
| --- | --- |
| 1 | -1.53 |
| 2 | 3.95 |